# RbCdIn

An optimized crystal structure of RbCdIn (GGA-PBE, the Alexandria database).

Calculated values
- E above lowest polymorph: 1.31 kcal/mol of atoms
- N(E_F): 0.95 states/eV per cell

Unit cell a=7.203 b=7.203 c=7.203 alpha=147.22 beta=147.22 gamma=47.03
Element x y z (fractional)
Rb (0.000, 0.000, 0.000)
Cd (0.292, 0.292, 0.000)
In (0.708, 0.708, 0.000)

=====

# Rb2CdIn2

An optimized crystal structure of Rb2CdIn2 (GGA-PBE, the Alexandria database).

Calculated values
- E above lowest polymorph: 0.37 kcal/mol of atoms
- N(E_F): 4.91 states/eV per cell

Unit cell a=7.904 b=7.904 c=6.257 alpha=90.00 beta=90.00 gamma=90.00
Element x y z (fractional)
Rb (0.181, 0.319, 0.000)
Rb (0.319, 0.819, 0.000)
Rb (0.681, 0.181, 0.000)
Rb (0.819, 0.681, 0.000)
Cd (0.000, 0.000, 0.500)
Cd (0.500, 0.500, 0.500)
In (0.131, 0.631, 0.500)
In (0.369, 0.131, 0.500)
In (0.631, 0.869, 0.500)
In (0.869, 0.369, 0.500)

=====

# RbCd4In12

An optimized crystal structure of RbCd4In12 (GGA-PBE, the Alexandria database).

Calculated values
- N(E_F): 10.32 states/eV per cell

Unit cell a=8.789 b=8.789 c=8.789 alpha=109.47 beta=109.47 gamma=109.47
Element x y z (fractional)
Rb (0.000, 0.000, 0.000)
Cd (0.000, 0.000, 0.500)
Cd (0.000, 0.500, 0.000)
Cd (0.500, 0.000, 0.000)
Cd (0.500, 0.500, 0.500)
In (0.153, 0.507, 0.355)
In (0.153, 0.798, 0.645)
In (0.202, 0.355, 0.847)
In (0.355, 0.153, 0.507)
In (0.355, 0.847, 0.202)
In (0.493, 0.645, 0.847)
In (0.507, 0.355, 0.153)
In (0.645, 0.153, 0.798)
In (0.645, 0.847, 0.493)
In (0.798, 0.645, 0.153)
In (0.847, 0.202, 0.355)
In (0.847, 0.493, 0.645)

=====

# Rb2CdIn7

An optimized crystal structure of Rb2CdIn7 (GGA-PBE, the Alexandria database).

Calculated values
- N(E_F): 5.40 states/eV per cell

Unit cell a=5.047 b=5.047 c=12.632 alpha=90.00 beta=90.00 gamma=90.00
Element x y z (fractional)
Rb (0.000, 0.500, 0.249)
Rb (0.500, 0.000, 0.751)
Cd (0.500, 0.500, 0.000)
In (0.000, 0.000, 0.000)
In (0.000, 0.000, 0.500)
In (0.000, 0.500, 0.635)
In (0.000, 0.500, 0.868)
In (0.500, 0.000, 0.132)
In (0.500, 0.000, 0.365)
In (0.500, 0.500, 0.500)

=====

# Rb2CdIn

An optimized crystal structure of Rb2CdIn (GGA-PBE, the Alexandria database).

Calculated values
- N(E_F): 6.32 states/eV per cell

Unit cell a=6.333 b=6.333 c=6.333 alpha=60.00 beta=60.00 gamma=60.00
Element x y z (fractional)
Rb (0.250, 0.250, 0.250)
Rb (0.750, 0.750, 0.750)
Cd (0.000, 0.000, 0.000)
In (0.500, 0.500, 0.500)

=====

# RbCd3In4

An optimized crystal structure of RbCd3In4 (GGA-PBE, the Alexandria database).

Calculated values
- N(E_F): 4.45 states/eV per cell

Unit cell a=5.026 b=5.026 c=9.579 alpha=90.00 beta=90.00 gamma=90.00
Element x y z (fractional)
Rb (0.000, 0.000, 0.000)
Cd (0.000, 0.000, 0.500)
Cd (0.500, 0.500, 0.150)
Cd (0.500, 0.500, 0.850)
In (0.000, 0.500, 0.327)
In (0.000, 0.500, 0.673)
In (0.500, 0.000, 0.327)
In (0.500, 0.000, 0.673)

=====

# Rb2Cd3In5

An optimized crystal structure of Rb2Cd3In5 (GGA-PBE, the Alexandria database).

Calculated values
- N(E_F): 5.66 states/eV per cell

Unit cell a=5.018 b=5.018 c=12.659 alpha=90.00 beta=90.00 gamma=90.00
Element x y z (fractional)
Rb (0.000, 0.500, 0.247)
Rb (0.500, 0.000, 0.753)
Cd (0.000, 0.000, 0.000)
Cd (0.000, 0.500, 0.871)
Cd (0.500, 0.000, 0.129)
In (0.000, 0.000, 0.500)
In (0.000, 0.500, 0.639)
In (0.500, 0.000, 0.361)
In (0.500, 0.500, 0.000)
In (0.500, 0.500, 0.500)

=====

# RbCd8In2

An optimized crystal structure of RbCd8In2 (GGA-PBE, the Alexandria database).

Calculated values
- N(E_F): 4.96 states/eV per cell

Unit cell a=5.630 b=5.630 c=11.758 alpha=90.00 beta=90.00 gamma=117.63
Element x y z (fractional)
Rb (0.000, 0.000, 0.000)
Cd (0.000, 0.500, 0.222)
Cd (0.000, 0.500, 0.500)
Cd (0.000, 0.500, 0.778)
Cd (0.500, 0.000, 0.222)
Cd (0.500, 0.000, 0.500)
Cd (0.500, 0.000, 0.778)
Cd (0.500, 0.500, 0.357)
Cd (0.500, 0.500, 0.643)
In (0.000, 0.000, 0.350)
In (0.000, 0.000, 0.650)

=====

# Rb5CdIn6

An optimized crystal structure of Rb5CdIn6 (GGA-PBE, the Alexandria database).

Calculated values
- N(E_F): 4.13 states/eV per cell

Unit cell a=7.314 b=7.314 c=11.177 alpha=96.22 beta=96.22 gamma=120.05
Element x y z (fractional)
Rb (0.000, 0.000, 0.000)
Rb (0.164, 0.836, 0.500)
Rb (0.314, 0.686, 0.000)
Rb (0.686, 0.314, 0.000)
Rb (0.836, 0.164, 0.500)
Cd (0.500, 0.500, 0.500)
In (0.179, 0.430, 0.273)
In (0.325, 0.325, 0.736)
In (0.430, 0.179, 0.273)
In (0.570, 0.821, 0.727)
In (0.675, 0.675, 0.264)
In (0.821, 0.570, 0.727)

=====

# RbCd4In

An optimized crystal structure of RbCd4In (GGA-PBE, the Alexandria database).

Calculated values
- E above lowest polymorph: 0.95 kcal/mol of atoms
- N(E_F): 6.02 states/eV per cell

Unit cell a=6.262 b=6.262 c=6.262 alpha=60.00 beta=60.00 gamma=60.00
Element x y z (fractional)
Rb (0.000, 0.000, 0.000)
Cd (0.375, 0.375, 0.375)
Cd (0.375, 0.375, 0.874)
Cd (0.375, 0.874, 0.375)
Cd (0.874, 0.375, 0.375)
In (0.750, 0.750, 0.750)

=====

# RbCd2In2

An optimized crystal structure of RbCd2In2 (GGA-PBE, the Alexandria database).

Calculated values
- E above lowest polymorph: 1.21 kcal/mol of atoms
- N(E_F): 4.91 states/eV per cell

Unit cell a=9.483 b=9.483 c=3.268 alpha=90.00 beta=90.00 gamma=90.00
Element x y z (fractional)
Rb (0.000, 0.000, 0.000)
Rb (0.500, 0.500, 0.000)
Cd (0.155, 0.345, 0.500)
Cd (0.345, 0.845, 0.500)
Cd (0.655, 0.155, 0.500)
Cd (0.845, 0.655, 0.500)
In (0.135, 0.635, 0.000)
In (0.365, 0.135, 0.000)
In (0.635, 0.865, 0.000)
In (0.865, 0.365, 0.000)

=====

# RbCdIn6

An optimized crystal structure of RbCdIn6 (GGA-PBE, the Alexandria database).

Calculated values
- E above lowest polymorph: 1.04 kcal/mol of atoms
- N(E_F): 4.95 states/eV per cell

Unit cell a=10.943 b=10.943 c=10.943 alpha=27.81 beta=27.81 gamma=27.81
Element x y z (fractional)
Rb (0.000, 0.000, 0.000)
Cd (0.500, 0.500, 0.500)
In (0.135, 0.135, 0.135)
In (0.240, 0.240, 0.240)
In (0.405, 0.405, 0.405)
In (0.595, 0.595, 0.595)
In (0.760, 0.760, 0.760)
In (0.865, 0.865, 0.865)

=====

| no. | energy of formation from the pure elements (eV per atom) |
| --- | --- |
| 1 | -0.02 |
| 2 | 0.00 |
| 3 | 0.10 |
| 4 | -0.10 |
| 5 | 0.13 |
| 6 | -0.04 |
| 7 | -0.08 |
| 8 | 0.02 |
| 9 | 0.09 |
| 10 | 0.02 |
| 11 | -0.02 |
| 12 | -0.02 |